The following is a DFT calculation (SCAN) of a PBEsol-optimized structure of Co2IrOs.

Values from the calculation:
Size of the total moment, μB per formula unit: 4.85
Uncorrected energy, eV/atom: -44.147
Excess energy over the best structure of this formula in the dataset, eV per atom: 0.1377
Calculated formation energy, eV per atom: 0.250

The structure in CIF format:
```
data_Co2IrOs
_chemical_formula_sum 'Co4 Ir2 Os2'
_space_group_name_H-M_alt 'C m m m'
_space_group_IT_number 65
_space_group_name_Hall '-C 2 2'
_cell_length_a 2.6932
_cell_length_b 4.4413
_cell_length_c 8.5406
_cell_angle_alpha 90.00
_cell_angle_beta 90.00
_cell_angle_gamma 90.00
loop_
_atom_site_label
_atom_site_type_symbol
_atom_site_fract_x
_atom_site_fract_y
_atom_site_fract_z
Co1 Co 0.0000 0.0000 0.2479
Ir1 Ir 0.0000 0.5000 0.5000
Os1 Os 0.0000 0.5000 0.0000
```